DFT (GGA-PBE) results for an optimized crystal structure of Na3HfGe2Te6.

**Formation energy from raw total energies**: -0.5932 eV per atom

a = 7.369 Å, b = 7.369 Å, c = 7.889 Å
α = 98.97°, β = 98.97°, γ = 120.01°
Fractional positions:
Te 0.746 0.746 0.217
Te 0.928 0.602 0.785
Te 0.398 0.072 0.215
Te 0.072 0.398 0.215
Te 0.254 0.254 0.783
Te 0.602 0.928 0.785
Na 0.500 0.500 0.500
Na 0.828 0.172 0.500
Na 0.172 0.828 0.500
Ge 0.666 0.334 0.000
Ge 0.334 0.666 0.000
Hf 0.000 0.000 0.000